(i)
VASP calculation (PBE) on an optimized crystal structure of CrPb2Br.

Unit cell a=5.348 b=5.348 c=5.348 alpha=60.00 beta=60.00 gamma=60.00
Element x y z (fractional)
1 Cr 0.000 0.000 0.000
2 Pb 0.500 0.500 0.500
3 Pb 0.750 0.750 0.750
4 Br 0.250 0.250 0.250

Properties
DOS at the Fermi energy (states/eV/f.u.): 2.95
Space group: F-43m, No. 216
Magnetization (μB per atom): 1.060
Calculated density (g/cm3): 8.4

=====

(ii)
VASP calculation (PBE) on an optimized crystal structure of CrPb2Br.

Unit cell a=3.485 b=3.485 c=8.990 alpha=90.00 beta=90.00 gamma=90.00
Element x y z (fractional)
1 Cr 0.000 0.000 0.000
2 Pb 0.000 0.000 0.498
3 Pb 0.500 0.500 0.226
4 Br 0.500 0.500 0.835

Properties
DOS at the Fermi energy (states/eV/f.u.): 1.67
Space group: P4mm, No. 99
Magnetization (μB per atom): 1.149
Calculated density (g/cm3): 8.3

=====

Which structure is the least stable? The one labeled (i).